This record from the Alexandria database describes a relaxed Nb2PtWCl crystal. The functional is PBE.

Output
Formation energy (no corrections) in meV per atom: 813
Total moment in μB/f.u.: 0.0
Space-group type: P4/mmm (123)
N(E_F) in states/eV per cell: 6.4
Crystal system: tetragonal
Mass density in Mg/m³: 11.206

```
Nb2PtWCl
1.0
4.5064 0.0000 0.0000
0.0000 4.5064 0.0000
0.0000 0.0000 4.3796
Nb Pt W Cl
2 1 1 1
Direct
0.0000 0.5000 0.0000
0.5000 0.0000 0.0000
0.0000 0.0000 0.5000
0.5000 0.5000 0.5000
0.5000 0.5000 0.0000
```